# 1
# Zn2BiPd8, relaxed, DFT PBE-GGA
data_Zn2BiPd8
_cell_length_a 7.3385
_cell_length_b 7.3385
_cell_length_c 6.3177
_cell_angle_alpha 106.08
_cell_angle_beta 106.08
_cell_angle_gamma 32.55
_symmetry_space_group_name_H-M 'P 1'
_symmetry_Int_Tables_number 1
loop_
_symmetry_equiv_pos_as_xyz
'x,y,z'
loop_
_atom_site_label
_atom_site_fract_x
_atom_site_fract_y
_atom_site_fract_z
Zn1 0.2201 0.2201 0.1533
Zn2 0.7799 0.7799 0.8467
Bi1 0.5000 0.5000 0.5000
Pd1 0.0433 0.0433 0.2265
Pd2 0.1548 0.1548 0.7223
Pd3 0.3182 0.3182 0.5740
Pd4 0.3992 0.3992 0.0276
Pd5 0.6008 0.6008 0.9724
Pd6 0.6818 0.6818 0.4260
Pd7 0.8452 0.8452 0.2777
Pd8 0.9567 0.9567 0.7735
# energy of formation = -31 kJ/mol of atoms
# space group = C2/m (12)

=====

# 2
# ZnBiPd2, relaxed, DFT PBE-GGA
data_ZnBiPd2
_cell_length_a 7.6367
_cell_length_b 7.6367
_cell_length_c 7.6367
_cell_angle_alpha 26.45
_cell_angle_beta 26.45
_cell_angle_gamma 26.45
_symmetry_space_group_name_H-M 'P 1'
_symmetry_Int_Tables_number 1
loop_
_symmetry_equiv_pos_as_xyz
'x,y,z'
loop_
_atom_site_label
_atom_site_fract_x
_atom_site_fract_y
_atom_site_fract_z
Zn1 0.0000 0.0000 0.0000
Bi1 0.1672 0.1672 0.1672
Pd1 0.5953 0.5953 0.5953
Pd2 0.7388 0.7388 0.7388
# E above lowest polymorph = 148 meV/atom
# energy of formation = -19 kJ/mol of atoms
# space group = R3m (160)

=====

# 3
# Zn2BiPd6, relaxed, DFT PBE-GGA
data_Zn2BiPd6
_cell_length_a 4.8428
_cell_length_b 4.8428
_cell_length_c 8.9565
_cell_angle_alpha 101.69
_cell_angle_beta 101.69
_cell_angle_gamma 46.51
_symmetry_space_group_name_H-M 'P 1'
_symmetry_Int_Tables_number 1
loop_
_symmetry_equiv_pos_as_xyz
'x,y,z'
loop_
_atom_site_label
_atom_site_fract_x
_atom_site_fract_y
_atom_site_fract_z
Zn1 0.2043 0.2043 0.2731
Zn2 0.7957 0.7957 0.7269
Bi1 0.5000 0.5000 0.0000
Pd1 0.1556 0.1556 0.5508
Pd2 0.1816 0.1816 0.8746
Pd3 0.4835 0.4835 0.6770
Pd4 0.5165 0.5165 0.3230
Pd5 0.8184 0.8184 0.1254
Pd6 0.8444 0.8444 0.4492
# energy of formation = -30 kJ/mol of atoms
# space group = C2/m (12)

=====

# 4
# ZrBiPd14, relaxed, DFT PBE-GGA
data_ZrBiPd14
_cell_length_a 5.7538
_cell_length_b 5.7538
_cell_length_c 7.8415
_cell_angle_alpha 90.00
_cell_angle_beta 90.00
_cell_angle_gamma 90.00
_symmetry_space_group_name_H-M 'P 1'
_symmetry_Int_Tables_number 1
loop_
_symmetry_equiv_pos_as_xyz
'x,y,z'
loop_
_atom_site_label
_atom_site_fract_x
_atom_site_fract_y
_atom_site_fract_z
Zr1 0.0000 0.0000 0.0000
Bi1 0.5000 0.5000 0.0000
Pd1 0.0000 0.0000 0.5000
Pd2 0.0000 0.5000 0.0000
Pd3 0.0000 0.5000 0.5000
Pd4 0.2462 0.2462 0.2530
Pd5 0.2462 0.2462 0.7470
Pd6 0.2462 0.7538 0.2530
Pd7 0.2462 0.7538 0.7470
Pd8 0.5000 0.0000 0.0000
Pd9 0.5000 0.0000 0.5000
Pd10 0.5000 0.5000 0.5000
Pd11 0.7538 0.2462 0.2530
Pd12 0.7538 0.2462 0.7470
Pd13 0.7538 0.7538 0.2530
Pd14 0.7538 0.7538 0.7470
# energy of formation = -25 kJ/mol of atoms
# space group = P4/mmm (123)

=====

# 5
# Zr2Bi4Pd, relaxed, DFT PBE-GGA
data_Zr2Bi4Pd
_cell_length_a 7.9403
_cell_length_b 7.9403
_cell_length_c 6.7732
_cell_angle_alpha 114.61
_cell_angle_beta 114.61
_cell_angle_gamma 29.39
_symmetry_space_group_name_H-M 'P 1'
_symmetry_Int_Tables_number 1
loop_
_symmetry_equiv_pos_as_xyz
'x,y,z'
loop_
_atom_site_label
_atom_site_fract_x
_atom_site_fract_y
_atom_site_fract_z
Zr1 0.2458 0.2458 0.2568
Zr2 0.7542 0.7542 0.7432
Bi1 0.1049 0.1049 0.4606
Bi2 0.3897 0.3897 0.0682
Bi3 0.6103 0.6103 0.9318
Bi4 0.8951 0.8951 0.5394
Pd1 0.0000 0.0000 0.0000
# energy of formation = -17 kJ/mol of atoms
# space group = C2/m (12)

=====

# 6
# Zr2BiPd6, relaxed, DFT PBE-GGA
data_Zr2BiPd6
_cell_length_a 8.0236
_cell_length_b 8.0236
_cell_length_c 3.0626
_cell_angle_alpha 90.00
_cell_angle_beta 90.00
_cell_angle_gamma 122.42
_symmetry_space_group_name_H-M 'P 1'
_symmetry_Int_Tables_number 1
loop_
_symmetry_equiv_pos_as_xyz
'x,y,z'
loop_
_atom_site_label
_atom_site_fract_x
_atom_site_fract_y
_atom_site_fract_z
Zr1 0.1869 0.8131 0.0000
Zr2 0.8131 0.1869 0.0000
Bi1 0.5000 0.5000 0.5000
Pd1 0.1469 0.4712 0.5000
Pd2 0.1742 0.1742 0.0000
Pd3 0.4712 0.1469 0.5000
Pd4 0.5288 0.8531 0.5000
Pd5 0.8258 0.8258 0.0000
Pd6 0.8531 0.5288 0.5000
# energy of formation = -40 kJ/mol of atoms
# space group = Cmmm (65)

=====

# 7
# Zr2BiPd9, relaxed, DFT PBE-GGA
data_Zr2BiPd9
_cell_length_a 4.0613
_cell_length_b 4.0613
_cell_length_c 12.2775
_cell_angle_alpha 90.00
_cell_angle_beta 90.00
_cell_angle_gamma 90.00
_symmetry_space_group_name_H-M 'P 1'
_symmetry_Int_Tables_number 1
loop_
_symmetry_equiv_pos_as_xyz
'x,y,z'
loop_
_atom_site_label
_atom_site_fract_x
_atom_site_fract_y
_atom_site_fract_z
Zr1 0.0000 0.0000 0.1636
Zr2 0.0000 0.0000 0.8364
Bi1 0.0000 0.0000 0.5000
Pd1 0.0000 0.5000 0.0000
Pd2 0.0000 0.5000 0.3231
Pd3 0.0000 0.5000 0.6769
Pd4 0.5000 0.0000 0.0000
Pd5 0.5000 0.0000 0.3231
Pd6 0.5000 0.0000 0.6769
Pd7 0.5000 0.5000 0.1630
Pd8 0.5000 0.5000 0.5000
Pd9 0.5000 0.5000 0.8370
# energy of formation = -60 kJ/mol of atoms
# space group = P4/mmm (123)

=====

# 8
# ZrBi4Pd15, relaxed, DFT PBE-GGA
data_ZrBi4Pd15
_cell_length_a 4.1147
_cell_length_b 4.1147
_cell_length_c 20.6661
_cell_angle_alpha 90.00
_cell_angle_beta 90.00
_cell_angle_gamma 90.00
_symmetry_space_group_name_H-M 'P 1'
_symmetry_Int_Tables_number 1
loop_
_symmetry_equiv_pos_as_xyz
'x,y,z'
loop_
_atom_site_label
_atom_site_fract_x
_atom_site_fract_y
_atom_site_fract_z
Zr1 0.0000 0.0000 0.0000
Bi1 0.0000 0.0000 0.1978
Bi2 0.0000 0.0000 0.3991
Bi3 0.0000 0.0000 0.6009
Bi4 0.0000 0.0000 0.8022
Pd1 0.0000 0.5000 0.0936
Pd2 0.0000 0.5000 0.2978
Pd3 0.0000 0.5000 0.5000
Pd4 0.0000 0.5000 0.7022
Pd5 0.0000 0.5000 0.9064
Pd6 0.5000 0.0000 0.0936
Pd7 0.5000 0.0000 0.2978
Pd8 0.5000 0.0000 0.5000
Pd9 0.5000 0.0000 0.7022
Pd10 0.5000 0.0000 0.9064
Pd11 0.5000 0.5000 0.0000
Pd12 0.5000 0.5000 0.1964
Pd13 0.5000 0.5000 0.3984
Pd14 0.5000 0.5000 0.6016
Pd15 0.5000 0.5000 0.8036
# energy of formation = -33 kJ/mol of atoms
# space group = P4/mmm (123)

=====

# 9
# ZrBi3Pd, relaxed, DFT PBE-GGA
data_ZrBi3Pd
_cell_length_a 5.3252
_cell_length_b 5.3252
_cell_length_c 5.3252
_cell_angle_alpha 90.00
_cell_angle_beta 90.00
_cell_angle_gamma 90.00
_symmetry_space_group_name_H-M 'P 1'
_symmetry_Int_Tables_number 1
loop_
_symmetry_equiv_pos_as_xyz
'x,y,z'
loop_
_atom_site_label
_atom_site_fract_x
_atom_site_fract_y
_atom_site_fract_z
Zr1 0.0000 0.0000 0.0000
Bi1 0.0000 0.5000 0.5000
Bi2 0.5000 0.0000 0.5000
Bi3 0.5000 0.5000 0.0000
Pd1 0.5000 0.5000 0.5000
# E above lowest polymorph = 0 meV/atom
# energy of formation = 43 kJ/mol of atoms
# space group = Pm-3m (221)

=====

# 10
# Zr3Bi2Pd, relaxed, DFT PBE-GGA
data_Zr3Bi2Pd
_cell_length_a 12.1907
_cell_length_b 4.1998
_cell_length_c 10.9103
_cell_angle_alpha 90.00
_cell_angle_beta 90.00
_cell_angle_gamma 90.00
_symmetry_space_group_name_H-M 'P 1'
_symmetry_Int_Tables_number 1
loop_
_symmetry_equiv_pos_as_xyz
'x,y,z'
loop_
_atom_site_label
_atom_site_fract_x
_atom_site_fract_y
_atom_site_fract_z
Zr1 0.0725 0.2500 0.0929
Zr2 0.1293 0.7500 0.5440
Zr3 0.2307 0.7500 0.2400
Zr4 0.2693 0.2500 0.7400
Zr5 0.3707 0.2500 0.0440
Zr6 0.4275 0.7500 0.5929
Zr7 0.5725 0.2500 0.4071
Zr8 0.6293 0.7500 0.9560
Zr9 0.7307 0.7500 0.2600
Zr10 0.7693 0.2500 0.7600
Zr11 0.8707 0.2500 0.4560
Zr12 0.9275 0.7500 0.9071
Bi1 0.0245 0.2500 0.7234
Bi2 0.1914 0.7500 0.9517
Bi3 0.3086 0.2500 0.4517
Bi4 0.4755 0.7500 0.2234
Bi5 0.5245 0.2500 0.7766
Bi6 0.6914 0.7500 0.5483
Bi7 0.8086 0.2500 0.0483
Bi8 0.9755 0.7500 0.2766
Pd1 0.0942 0.2500 0.3688
Pd2 0.4058 0.7500 0.8688
Pd3 0.5942 0.2500 0.1312
Pd4 0.9058 0.7500 0.6312
# energy of formation = -33 kJ/mol of atoms
# space group = Pnma (62)

=====

# 11
# ZrBiPd3, relaxed, DFT PBE-GGA
data_ZrBiPd3
_cell_length_a 4.9513
_cell_length_b 4.9513
_cell_length_c 4.9513
_cell_angle_alpha 90.00
_cell_angle_beta 90.00
_cell_angle_gamma 90.00
_symmetry_space_group_name_H-M 'P 1'
_symmetry_Int_Tables_number 1
loop_
_symmetry_equiv_pos_as_xyz
'x,y,z'
loop_
_atom_site_label
_atom_site_fract_x
_atom_site_fract_y
_atom_site_fract_z
Zr1 0.0000 0.0000 0.0000
Bi1 0.5000 0.5000 0.5000
Pd1 0.0000 0.0000 0.5000
Pd2 0.0000 0.5000 0.0000
Pd3 0.5000 0.0000 0.0000
# E above lowest polymorph = 915 meV/atom
# energy of formation = 41 kJ/mol of atoms
# space group = Pm-3m (221)

=====

# 12
# ZrBiPd6, relaxed, DFT PBE-GGA
data_ZrBiPd6
_cell_length_a 4.0848
_cell_length_b 4.0848
_cell_length_c 8.1991
_cell_angle_alpha 90.00
_cell_angle_beta 90.00
_cell_angle_gamma 90.00
_symmetry_space_group_name_H-M 'P 1'
_symmetry_Int_Tables_number 1
loop_
_symmetry_equiv_pos_as_xyz
'x,y,z'
loop_
_atom_site_label
_atom_site_fract_x
_atom_site_fract_y
_atom_site_fract_z
Zr1 0.0000 0.0000 0.0000
Bi1 0.0000 0.0000 0.5000
Pd1 0.0000 0.5000 0.2383
Pd2 0.0000 0.5000 0.7617
Pd3 0.5000 0.0000 0.2383
Pd4 0.5000 0.0000 0.7617
Pd5 0.5000 0.5000 0.0000
Pd6 0.5000 0.5000 0.5000
# E above lowest polymorph = 0 meV/atom
# energy of formation = -50 kJ/mol of atoms
# space group = P4/mmm (123)

=====

# 13
# Zr6Bi3Pd, relaxed, DFT PBE-GGA
data_Zr6Bi3Pd
_cell_length_a 9.8007
_cell_length_b 9.8007
_cell_length_c 5.0439
_cell_angle_alpha 90.00
_cell_angle_beta 90.00
_cell_angle_gamma 98.29
_symmetry_space_group_name_H-M 'P 1'
_symmetry_Int_Tables_number 1
loop_
_symmetry_equiv_pos_as_xyz
'x,y,z'
loop_
_atom_site_label
_atom_site_fract_x
_atom_site_fract_y
_atom_site_fract_z
Zr1 0.0518 0.9482 0.5000
Zr2 0.0627 0.5943 0.8173
Zr3 0.2553 0.7447 0.3661
Zr4 0.2825 0.4377 0.3232
Zr5 0.4057 0.9373 0.8173
Zr6 0.4377 0.2825 0.8232
Zr7 0.5623 0.7175 0.3232
Zr8 0.5943 0.0627 0.3173
Zr9 0.7175 0.5623 0.8232
Zr10 0.7447 0.2553 0.8661
Zr11 0.9373 0.4057 0.3173
Zr12 0.9482 0.0518 0.0000
Bi1 0.1130 0.2990 0.8047
Bi2 0.2990 0.1130 0.3047
Bi3 0.3928 0.6072 0.8318
Bi4 0.6072 0.3928 0.3318
Bi5 0.7010 0.8870 0.8047
Bi6 0.8870 0.7010 0.3047
Pd1 0.1361 0.8639 0.9571
Pd2 0.8639 0.1361 0.4571
# energy of formation = -18 kJ/mol of atoms
# space group = Cmc2_1 (36)

=====

# 14
# ZrBi3Pd, relaxed, DFT PBE-GGA
data_ZrBi3Pd
_cell_length_a 5.6098
_cell_length_b 5.6098
_cell_length_c 5.6098
_cell_angle_alpha 90.00
_cell_angle_beta 90.00
_cell_angle_gamma 90.00
_symmetry_space_group_name_H-M 'P 1'
_symmetry_Int_Tables_number 1
loop_
_symmetry_equiv_pos_as_xyz
'x,y,z'
loop_
_atom_site_label
_atom_site_fract_x
_atom_site_fract_y
_atom_site_fract_z
Zr1 0.0000 0.0000 0.0000
Bi1 0.0000 0.0000 0.5000
Bi2 0.0000 0.5000 0.0000
Bi3 0.5000 0.0000 0.0000
Pd1 0.5000 0.5000 0.5000
# E above lowest polymorph = 135 meV/atom
# energy of formation = 56 kJ/mol of atoms
# space group = Pm-3m (221)

=====

# 15
# ZrBiPd6, relaxed, DFT PBE-GGA
data_ZrBiPd6
_cell_length_a 5.4525
_cell_length_b 5.4525
_cell_length_c 5.4525
_cell_angle_alpha 84.57
_cell_angle_beta 84.57
_cell_angle_gamma 84.57
_symmetry_space_group_name_H-M 'P 1'
_symmetry_Int_Tables_number 1
loop_
_symmetry_equiv_pos_as_xyz
'x,y,z'
loop_
_atom_site_label
_atom_site_fract_x
_atom_site_fract_y
_atom_site_fract_z
Zr1 0.0000 0.0000 0.0000
Bi1 0.5000 0.5000 0.5000
Pd1 0.1589 0.1589 0.5383
Pd2 0.1589 0.5383 0.1589
Pd3 0.4617 0.8411 0.8411
Pd4 0.5383 0.1589 0.1589
Pd5 0.8411 0.4617 0.8411
Pd6 0.8411 0.8411 0.4617
# E above lowest polymorph = 468 meV/atom
# energy of formation = -5 kJ/mol of atoms
# space group = R-3m (166)

=====

# 16
# ZrBiPd3, relaxed, DFT PBE-GGA
data_ZrBiPd3
_cell_length_a 4.2959
_cell_length_b 5.6118
_cell_length_c 8.2701
_cell_angle_alpha 90.00
_cell_angle_beta 90.00
_cell_angle_gamma 90.00
_symmetry_space_group_name_H-M 'P 1'
_symmetry_Int_Tables_number 1
loop_
_symmetry_equiv_pos_as_xyz
'x,y,z'
loop_
_atom_site_label
_atom_site_fract_x
_atom_site_fract_y
_atom_site_fract_z
Zr1 0.2500 0.2500 0.0568
Zr2 0.7500 0.7500 0.9432
Bi1 0.2500 0.2500 0.4422
Bi2 0.7500 0.7500 0.5578
Pd1 0.2500 0.5097 0.7524
Pd2 0.2500 0.7500 0.1555
Pd3 0.2500 0.9903 0.7524
Pd4 0.7500 0.0097 0.2476
Pd5 0.7500 0.2500 0.8445
Pd6 0.7500 0.4903 0.2476
# E above lowest polymorph = 0 meV/atom
# energy of formation = -47 kJ/mol of atoms
# space group = Pmmn (59)

=====

# 17
# PmBi5, relaxed, DFT PBE-GGA
data_PmBi5
_cell_length_a 8.7003
_cell_length_b 8.7003
_cell_length_c 4.7906
_cell_angle_alpha 90.00
_cell_angle_beta 90.00
_cell_angle_gamma 148.52
_symmetry_space_group_name_H-M 'P 1'
_symmetry_Int_Tables_number 1
loop_
_symmetry_equiv_pos_as_xyz
'x,y,z'
loop_
_atom_site_label
_atom_site_fract_x
_atom_site_fract_y
_atom_site_fract_z
Pm1 0.0000 0.0000 0.0000
Bi1 0.1649 0.8351 0.5000
Bi2 0.3449 0.6551 0.0000
Bi3 0.5000 0.5000 0.5000
Bi4 0.6551 0.3449 0.0000
Bi5 0.8351 0.1649 0.5000
# energy of formation = -25 kJ/mol of atoms
# space group = Cmmm (65)

=====

# 18
# Pm3Bi4, relaxed, DFT PBE-GGA
data_Pm3Bi4
_cell_length_a 12.6931
_cell_length_b 12.6931
_cell_length_c 12.6931
_cell_angle_alpha 21.63
_cell_angle_beta 21.63
_cell_angle_gamma 21.63
_symmetry_space_group_name_H-M 'P 1'
_symmetry_Int_Tables_number 1
loop_
_symmetry_equiv_pos_as_xyz
'x,y,z'
loop_
_atom_site_label
_atom_site_fract_x
_atom_site_fract_y
_atom_site_fract_z
Pm1 0.0000 0.0000 0.0000
Pm2 0.2404 0.2404 0.2404
Pm3 0.7596 0.7596 0.7596
Bi1 0.1475 0.1475 0.1475
Bi2 0.3813 0.3813 0.3813
Bi3 0.6187 0.6187 0.6187
Bi4 0.8525 0.8525 0.8525
# energy of formation = -61 kJ/mol of atoms
# space group = R-3m (166)

=====

# 19
# Pm5Bi3, relaxed, DFT PBE-GGA
data_Pm5Bi3
_cell_length_a 9.4466
_cell_length_b 9.4466
_cell_length_c 6.5482
_cell_angle_alpha 90.00
_cell_angle_beta 90.00
_cell_angle_gamma 120.00
_symmetry_space_group_name_H-M 'P 1'
_symmetry_Int_Tables_number 1
loop_
_symmetry_equiv_pos_as_xyz
'x,y,z'
loop_
_atom_site_label
_atom_site_fract_x
_atom_site_fract_y
_atom_site_fract_z
Pm1 0.0000 0.2462 0.2500
Pm2 0.0000 0.7538 0.7500
Pm3 0.2462 0.0000 0.2500
Pm4 0.2462 0.2462 0.7500
Pm5 0.3333 0.6667 0.0000
Pm6 0.3333 0.6667 0.5000
Pm7 0.6667 0.3333 0.0000
Pm8 0.6667 0.3333 0.5000
Pm9 0.7538 0.0000 0.7500
Pm10 0.7538 0.7538 0.2500
Bi1 0.0000 0.3878 0.7500
Bi2 0.0000 0.6122 0.2500
Bi3 0.3878 0.0000 0.7500
Bi4 0.3878 0.3878 0.2500
Bi5 0.6122 0.0000 0.2500
Bi6 0.6122 0.6122 0.7500
# energy of formation = -74 kJ/mol of atoms
# space group = P6_3/mcm (193)

=====

# 20
# Pm5Bi2, relaxed, DFT PBE-GGA
data_Pm5Bi2
_cell_length_a 8.7354
_cell_length_b 8.7354
_cell_length_c 8.9148
_cell_angle_alpha 95.02
_cell_angle_beta 95.02
_cell_angle_gamma 42.37
_symmetry_space_group_name_H-M 'P 1'
_symmetry_Int_Tables_number 1
loop_
_symmetry_equiv_pos_as_xyz
'x,y,z'
loop_
_atom_site_label
_atom_site_fract_x
_atom_site_fract_y
_atom_site_fract_z
Pm1 0.1177 0.3298 0.3113
Pm2 0.2016 0.7984 0.7500
Pm3 0.2203 0.5530 0.0549
Pm4 0.3298 0.1177 0.8113
Pm5 0.4470 0.7797 0.4451
Pm6 0.5530 0.2203 0.5549
Pm7 0.6702 0.8823 0.1887
Pm8 0.7797 0.4470 0.9451
Pm9 0.7984 0.2016 0.2500
Pm10 0.8823 0.6702 0.6887
Bi1 0.0937 0.7180 0.4131
Bi2 0.2820 0.9063 0.0869
Bi3 0.7180 0.0937 0.9131
Bi4 0.9063 0.2820 0.5869
# energy of formation = -46 kJ/mol of atoms
# space group = C2/c (15)

=====

Across the entries above, magnetic moment takes the values 0.00 0.00 0.00 0.00 0.00 0.00 0.00 0.00 0.00 0.00 0.00 0.00 0.00 0.00 0.00 0.00 0.00 0.00 1.09 0.00 μB per cell, respectively.
Across the entries above, uncorrected energy takes the values -51.49 -16.33 -40.34 -89.32 -39.03 -55.85 -75.12 -108.86 -23.17 -162.62 -25.89 -47.77 -140.05 -22.50 -44.03 -60.92 -25.72 -34.21 -83.13 -69.64 eV for the cell shown, respectively.